Record 1
A plane-wave DFT calculation with SCAN was carried out for a crystal of BaTa2SeBr relaxed with PBEsol.

Cell lengths 4.753, 4.753, 6.549 Å; angles 90.00, 90.00, 90.00 degrees
Each line ends with the local moment (μB).
Atoms (fractional coordinates):
Se (0.000, 0.000, 0.000)  -0.03
Br (0.500, 0.500, 0.500)  0.10
Ta (0.500, 0.000, 0.000)  0.69
Ta (0.000, 0.500, 0.000)  0.69
Ba (0.000, 0.000, 0.500)  0.07

Results
E_form (uncorrected): 0.439 eV per atom

=====

Record 2
A plane-wave DFT calculation with SCAN was carried out for a crystal of SrSn3C relaxed with PBEsol.

Cell lengths 4.905, 4.905, 4.905 Å; angles 90.00, 90.00, 90.00 degrees
Atoms (fractional coordinates):
C (0.000, 0.000, 0.000)
Sn (0.000, 0.500, 0.000)
Sn (0.000, 0.000, 0.500)
Sn (0.500, 0.000, 0.000)
Sr (0.500, 0.500, 0.500)

Results
formation energy from the elements: 606 meV per atom

=====

Record 3
A plane-wave DFT calculation with SCAN was carried out for a crystal of Al2CrPb relaxed with PBEsol.

Cell lengths 3.932, 4.265, 5.435 Å; angles 119.89, 111.21, 90.00 degrees
Each line ends with the local moment (μB).
Atoms (fractional coordinates):
Cr (0.492, 0.531, 0.983)  3.44
Al (0.004, 0.988, 0.008)  -0.05
Al (0.756, 0.238, 0.512)  -0.06
Pb (0.248, 0.743, 0.496)  -0.06

Results
formation energy from the elements: 209 meV per atom

=====

Record 4
A plane-wave DFT calculation with SCAN was carried out for a crystal of CrRhSN2 relaxed with PBEsol.

Cell lengths 3.551, 3.551, 4.782 Å; angles 90.00, 90.00, 90.00 degrees
Atoms (fractional coordinates):
N (0.500, 0.000, 0.000)
N (0.000, 0.500, 0.000)
Rh (0.500, 0.500, 0.500)
S (0.000, 0.000, 0.500)
Cr (0.000, 0.000, 0.000)

Results
E_form (uncorrected): 0.586 eV per atom

=====

Record 5
A plane-wave DFT calculation with SCAN was carried out for a crystal of LaMnPd2 relaxed with PBEsol.

Cell lengths 4.780, 4.780, 4.780 Å; angles 60.00, 60.00, 60.00 degrees
Each line ends with the local moment (μB).
Atoms (fractional coordinates):
Mn (0.000, 0.000, 0.000)  4.32
Pd (0.750, 0.750, 0.750)  0.06
Pd (0.250, 0.250, 0.250)  0.06
La (0.500, 0.500, 0.500)  -0.02

Results
formation energy from the elements: -566 meV per atom

=====

Record 6
A plane-wave DFT calculation with SCAN was carried out for a crystal of ZrZn2PRh relaxed with PBEsol.

Cell lengths 4.296, 4.296, 4.870 Å; angles 90.00, 90.00, 90.00 degrees
Atoms (fractional coordinates):
P (0.000, 0.000, 0.000)
Zn (0.500, 0.000, 0.000)
Zn (0.000, 0.500, 0.000)
Zr (0.000, 0.000, 0.500)
Rh (0.500, 0.500, 0.500)

Results
formation energy from the elements: 238 meV per atom

=====

Record 7
A plane-wave DFT calculation with SCAN was carried out for a crystal of Ti2SbIr relaxed with PBEsol.

Cell lengths 5.645, 5.821, 5.821 Å; angles 76.40, 60.99, 60.99 degrees
Atoms (fractional coordinates):
Ir (0.000, 0.000, 0.000)
Ir (0.750, 0.500, 0.500)
Ti (0.375, 0.960, 0.540)
Ti (0.665, 0.460, 0.960)
Ti (0.875, 0.040, 0.460)
Ti (0.085, 0.540, 0.040)
Sb (0.250, 0.500, 0.500)
Sb (0.500, 0.000, 0.000)

Results
E_form (uncorrected): -0.332 eV per atom

=====

Record 8
A plane-wave DFT calculation with SCAN was carried out for a crystal of Sc2SnPdF relaxed with PBEsol.

Cell lengths 4.006, 5.115, 5.115 Å; angles 90.00, 90.00, 90.00 degrees
Atoms (fractional coordinates):
Sn (0.500, 0.500, 0.500)
Pd (0.000, 0.000, 0.000)
F (0.500, 0.000, 0.000)
Sc (0.000, 0.000, 0.500)
Sc (0.000, 0.500, 0.000)

Results
E_form (uncorrected): -0.613 eV per atom

=====

DOS(E_F) (computed, states/eV/atom): 0.798 0.468 0.454 0.531 0.593 0.506 0.931 0.943
Final energy (computed, eV for the cell shown): -210.1 -137.1 -108.8 -77.4 -129.2 -100.7 -283.5 -103.8